No. 1
## AcLaSe4 (GGA-PBE)

Data for a relaxed structure of AcLaSe4.

Calculated values
- formation energy (no corrections) (kJ/mol of formula units) = -952
- symmetry = No. 141

Cell lengths 8.196, 8.196, 8.196 Å; angles 122.97, 122.97, 84.93 degrees
Atoms (fractional coordinates):
Ac1 0.375 0.625 0.750
Ac2 0.625 0.375 0.250
La1 0.125 0.875 0.250
La2 0.875 0.125 0.750
Se1 0.000 0.243 0.243
Se2 0.000 0.757 0.757
Se3 0.243 0.000 0.743
Se4 0.243 0.500 0.243
Se5 0.500 0.243 0.743
Se6 0.500 0.757 0.257
Se7 0.757 0.000 0.257
Se8 0.757 0.500 0.757


No. 2
## BaAl2BN (GGA-PBE)

Data for a relaxed structure of BaAl2BN.

Calculated values
- formation energy (no corrections) (kJ/mol of formula units) = 1120
- symmetry = No. 123

Cell lengths 6.173, 6.173, 4.430 Å; angles 90.00, 90.00, 90.00 degrees
Atoms (fractional coordinates):
Ba1 0.000 0.000 0.000
Al1 0.000 0.500 0.000
Al2 0.500 0.000 0.000
B1 0.500 0.500 0.500
N1 0.000 0.000 0.500


No. 3
## Cs3Tb2YSe6 (GGA-PBE)

Data for a relaxed structure of Cs3Tb2YSe6.

Calculated values
- formation energy (no corrections) (kJ/mol of formula units) = -2007
- symmetry = No. 12

Cell lengths 7.413, 7.413, 8.735 Å; angles 98.13, 98.13, 120.00 degrees
Atoms (fractional coordinates):
Cs1 0.000 0.000 0.000
Cs2 0.333 0.667 0.000
Cs3 0.667 0.333 0.000
Tb1 0.167 0.833 0.500
Tb2 0.833 0.167 0.500
Y1 0.500 0.500 0.500
Se1 0.105 0.438 0.314
Se2 0.229 0.229 0.686
Se3 0.438 0.105 0.314
Se4 0.562 0.895 0.686
Se5 0.771 0.771 0.314
Se6 0.895 0.562 0.686


No. 4
## BaLiMg (GGA-PBE)

Data for a relaxed structure of BaLiMg.

Calculated values
- ΔH_f (0 K) (eV/atom) = 0.19
- symmetry = No. 216

Cell lengths 5.533, 5.533, 5.533 Å; angles 60.00, 60.00, 60.00 degrees
Atoms (fractional coordinates):
Ba1 0.000 0.000 0.000
Li1 0.250 0.250 0.250
Mg1 0.500 0.500 0.500


No. 5
## SrHgCI2 (GGA-PBE)

Data for a relaxed structure of SrHgCI2.

Calculated values
- formation energy (no corrections) (kJ/mol of formula units) = 521
- symmetry = No. 123

Cell lengths 5.876, 5.876, 6.354 Å; angles 90.00, 90.00, 90.00 degrees
Atoms (fractional coordinates):
Sr1 0.000 0.000 0.000
Hg1 0.000 0.000 0.500
C1 0.500 0.500 0.000
I1 0.000 0.500 0.500
I2 0.500 0.000 0.500


No. 6
## LiReHW2 (GGA-PBE)

Data for a relaxed structure of LiReHW2.

Calculated values
- total energy (eV/atom) = -7.564
- symmetry = No. 123

Cell lengths 4.685, 4.685, 2.887 Å; angles 90.00, 90.00, 90.00 degrees
Atoms (fractional coordinates):
Li1 0.000 0.000 0.000
Re1 0.500 0.500 0.500
H1 0.000 0.000 0.500
W1 0.000 0.500 0.000
W2 0.500 0.000 0.000


No. 7
## Sm3P2N6 (GGA-PBE)

Data for a relaxed structure of Sm3P2N6.

Calculated values
- formation energy (no corrections) (kJ/mol of formula units) = -988
- symmetry = No. 12

Cell lengths 4.172, 4.172, 9.780 Å; angles 96.04, 96.04, 83.45 degrees
Atoms (fractional coordinates):
Sm1 0.000 0.000 0.000
Sm2 0.274 0.274 0.357
Sm3 0.726 0.726 0.643
P1 0.316 0.316 0.776
P2 0.684 0.684 0.224
N1 0.002 0.512 0.160
N2 0.333 0.333 0.610
N3 0.488 0.998 0.840
N4 0.512 0.002 0.160
N5 0.667 0.667 0.390
N6 0.998 0.488 0.840


No. 8
## NbIrW2N (GGA-PBE)

Data for a relaxed structure of NbIrW2N.

Calculated values
- formation energy (no corrections) (kJ/mol of formula units) = -124
- symmetry = No. 123

Cell lengths 4.100, 4.100, 4.237 Å; angles 90.00, 90.00, 90.00 degrees
Atoms (fractional coordinates):
Nb1 0.000 0.000 0.000
Ir1 0.500 0.500 0.000
W1 0.000 0.500 0.500
W2 0.500 0.000 0.500
N1 0.000 0.000 0.500


No. 9
## Si2BiSb2 (GGA-PBE)

Data for a relaxed structure of Si2BiSb2.

Calculated values
- formation energy (no corrections) (kJ/mol of formula units) = 171
- symmetry = No. 139

Cell lengths 10.357, 10.357, 10.357 Å; angles 160.67, 160.67, 27.48 degrees
Atoms (fractional coordinates):
Si1 0.250 0.750 0.500
Si2 0.750 0.250 0.500
Bi1 0.000 0.000 0.000
Sb1 0.378 0.378 0.000
Sb2 0.622 0.622 0.000


No. 10
## Hf4Sn2Te (GGA-PBE)

Data for a relaxed structure of Hf4Sn2Te.

Calculated values
- formation energy (no corrections) (kJ/mol of formula units) = 416
- symmetry = No. 139

Cell lengths 8.373, 8.373, 8.373 Å; angles 144.73, 144.73, 50.74 degrees
Atoms (fractional coordinates):
Hf1 0.000 0.500 0.500
Hf2 0.180 0.180 0.000
Hf3 0.500 0.000 0.500
Hf4 0.820 0.820 0.000
Sn1 0.370 0.370 0.000
Sn2 0.630 0.630 0.000
Te1 0.000 0.000 0.000


No. 11
## Rb3Ce3MgSe8 (GGA-PBE)

Data for a relaxed structure of Rb3Ce3MgSe8.

Calculated values
- formation energy (no corrections) (kJ/mol of formula units) = -2222
- symmetry = No. 166

Cell lengths 9.456, 9.456, 9.456 Å; angles 53.41, 53.41, 53.41 degrees
Atoms (fractional coordinates):
Rb1 0.000 0.500 0.500
Rb2 0.500 0.000 0.500
Rb3 0.500 0.500 0.000
Ce1 0.000 0.000 0.500
Ce2 0.000 0.500 0.000
Ce3 0.500 0.000 0.000
Mg1 0.500 0.500 0.500
Se1 0.233 0.233 0.233
Se2 0.233 0.727 0.727
Se3 0.273 0.273 0.767
Se4 0.273 0.767 0.273
Se5 0.727 0.233 0.727
Se6 0.727 0.727 0.233
Se7 0.767 0.273 0.273
Se8 0.767 0.767 0.767


No. 12
## La4PmCo (GGA-PBE)

Data for a relaxed structure of La4PmCo.

Calculated values
- ΔH_f (0 K) (eV/atom) = -0.02
- symmetry = No. 12

Cell lengths 9.847, 9.847, 6.206 Å; angles 108.26, 108.26, 44.06 degrees
Atoms (fractional coordinates):
La1 0.134 0.640 0.381
La2 0.250 0.750 0.000
La3 0.313 0.313 0.780
La4 0.360 0.866 0.619
La5 0.640 0.134 0.381
La6 0.687 0.687 0.220
La7 0.750 0.250 0.000
La8 0.866 0.360 0.619
Pm1 0.198 0.198 0.158
Pm2 0.802 0.802 0.842
Co1 0.467 0.467 0.650
Co2 0.533 0.533 0.350


Number 1: Fermi-level density of states 0.93 states/eV/f.u.. Number 2: Fermi-level density of states 4.85 states/eV/f.u.. Number 3: Fermi-level density of states 0.00 states/eV/f.u.. Number 4: Fermi-level density of states 3.70 states/eV/f.u.. Number 5: Fermi-level density of states 10.18 states/eV/f.u.. Number 6: Fermi-level density of states 4.41 states/eV/f.u.. Number 7: Fermi-level density of states 2.27 states/eV/f.u.. Number 8: Fermi-level density of states 4.78 states/eV/f.u.. Number 9: Fermi-level density of states 3.16 states/eV/f.u.. Number 10: Fermi-level density of states 9.00 states/eV/f.u.. Number 11: Fermi-level density of states 10.41 states/eV/f.u.. Number 12: Fermi-level density of states 8.89 states/eV/f.u..